# Tb5Y12Er2 | Alexandria | PBE | optimized geometry
data_Tb5Y12Er2
_chemical_formula_sum 'Tb5 Y12 Er2'
_symmetry_space_group_name_H-M 'P -1'
_symmetry_Int_Tables_number 2
_symmetry_space_group_name_Hall '-P 1'
_cell_length_a 6.1689
_cell_length_b 9.4081
_cell_length_c 10.6956
_cell_angle_alpha 78.96
_cell_angle_beta 84.42
_cell_angle_gamma 89.99
loop_
_atom_site_label
_atom_site_type_symbol
_atom_site_fract_x
_atom_site_fract_y
_atom_site_fract_z
Tb1 Tb 0.0000 0.0000 0.0000
Tb2 Tb 0.1570 0.6320 0.0521
Tb3 Tb 0.4222 0.6852 0.4739
Y1 Y 0.0514 0.2093 0.6837
Y2 Y 0.1064 0.4207 0.3689
Y3 Y 0.2107 0.8426 0.7358
Y4 Y 0.3152 0.2631 0.1056
Y5 Y 0.3681 0.4740 0.7891
Y6 Y 0.4726 0.8946 0.1583
Er1 Er 0.2637 0.0519 0.4222
# **Energy relative to the elements**: 1.9 kJ/mol of atoms
# **Energy above the lowest structure with this stoichiometry**: 0.000 eV/f.u.
# **M_tot**: 0.00 μB per formula unit
# **Total energy**: -5.761 eV per atom